(1)
## Al2CrTcH (PBE)

Data for an optimized crystal structure of Al2CrTcH.

Computed properties:
- Relative energy among the computed polymorphs: 0.0 meV per atom

```
5
Lattice="4.195 0.000 0.000 0.000 4.195 0.000 0.000 0.000 3.362" Properties=species:S:1:pos:R:3 pbc="T T T"
Al 0.000 2.097 0.000
Al 2.097 0.000 0.000
Cr 0.000 0.000 1.681
Tc 2.097 2.097 1.681
H 0.000 0.000 0.000
```

---

(2)
## Al2CrTcH (PBE)

Data for an optimized crystal structure of Al2CrTcH.

Computed properties:
- Relative energy among the computed polymorphs: 88.4 meV per atom

```
5
Lattice="4.221 0.000 0.000 0.000 4.221 0.000 0.000 0.000 3.379" Properties=species:S:1:pos:R:3 pbc="T T T"
Al 0.000 2.110 0.000
Al 2.110 0.000 0.000
Cr 0.000 0.000 1.690
Tc 2.110 2.110 1.690
H 2.110 2.110 0.000
```

---

(3)
## Ti2AlCrH (PBE)

Data for an optimized crystal structure of Ti2AlCrH.

```
5
Lattice="4.244 0.000 0.000 0.000 4.244 0.000 0.000 0.000 3.428" Properties=species:S:1:pos:R:3 pbc="T T T"
Ti 0.000 2.122 0.000
Ti 2.122 0.000 0.000
Al 0.000 0.000 1.714
Cr 2.122 2.122 1.714
H 2.122 2.122 0.000
```

---

(4)
## Al2CrHW (PBE)

Data for an optimized crystal structure of Al2CrHW.

```
5
Lattice="4.719 0.000 0.000 0.000 4.719 0.000 0.000 0.000 4.336" Properties=species:S:1:pos:R:3 pbc="T T T"
Al 0.000 2.360 0.000
Al 2.360 0.000 0.000
Cr 0.000 0.000 0.000
H 2.360 2.360 2.168
W 0.000 0.000 2.168
```

---

(5)
## Al2ZnCrH (PBE)

Data for an optimized crystal structure of Al2ZnCrH.

Computed properties:
- Relative energy among the computed polymorphs: 428.6 meV per atom

```
5
Lattice="4.964 0.000 0.000 0.000 4.964 0.000 0.000 0.000 3.261" Properties=species:S:1:pos:R:3 pbc="T T T"
Al 0.000 2.482 0.000
Al 2.482 0.000 0.000
Zn 0.000 0.000 1.630
Cr 2.482 2.482 0.000
H 2.482 2.482 1.630
```

---

(6)
## Al2ZnCrH (PBE)

Data for an optimized crystal structure of Al2ZnCrH.

Computed properties:
- Relative energy among the computed polymorphs: 0.0 meV per atom

```
5
Lattice="4.026 0.000 0.000 0.000 4.026 0.000 0.000 0.000 3.699" Properties=species:S:1:pos:R:3 pbc="T T T"
Al 0.000 2.013 0.000
Al 2.013 0.000 0.000
Zn 0.000 0.000 1.850
Cr 2.013 2.013 1.850
H 2.013 2.013 0.000
```

---

(7)
## Zr2AlCrH (PBE)

Data for an optimized crystal structure of Zr2AlCrH.

```
5
Lattice="4.587 0.000 0.000 0.000 4.587 0.000 0.000 0.000 3.543" Properties=species:S:1:pos:R:3 pbc="T T T"
Zr 0.000 2.293 0.000
Zr 2.293 0.000 0.000
Al 0.000 0.000 1.771
Cr 2.293 2.293 1.771
H 2.293 2.293 0.000
```

---

(8)
## HfAl3Cr (PBE)

Data for an optimized crystal structure of HfAl3Cr.

Computed properties:
- Relative energy among the computed polymorphs: 339.2 meV per atom
- DFT formation energy: 0.3856 eV/atom

```
5
Lattice="4.500 0.000 0.000 0.000 4.500 0.000 0.000 0.000 4.500" Properties=species:S:1:pos:R:3 pbc="T T T"
Hf 0.000 0.000 0.000
Al 0.000 2.250 2.250
Al 2.250 0.000 2.250
Al 2.250 2.250 0.000
Cr 2.250 2.250 2.250
```

---

(9)
## HfAlCr (PBE)

Data for an optimized crystal structure of HfAlCr.

Computed properties:
- DFT formation energy: -0.2570 eV/atom

```
12
Lattice="8.480 0.000 0.000 0.000 2.572 4.437 0.000 -2.572 4.437" Properties=species:S:1:pos:R:3 pbc="T T T"
Hf 1.511 0.000 0.000
Hf 2.617 0.000 5.895
Hf 5.863 0.000 5.895
Hf 6.969 0.000 0.000
Al 2.029 0.000 2.869
Al 4.240 -1.309 3.707
Al 4.240 1.309 3.707
Al 6.451 0.000 2.869
Cr 0.000 0.000 4.477
Cr 0.000 -1.166 6.551
Cr 0.000 1.166 6.551
Cr 4.240 0.000 1.443
```

---

(10)
## HfAl2Cr (PBE)

Data for an optimized crystal structure of HfAl2Cr.

Computed properties:
- DFT formation energy: -0.1698 eV/atom

```
4
Lattice="3.031 0.000 0.000 0.000 3.031 0.000 0.000 0.000 7.111" Properties=species:S:1:pos:R:3 pbc="T T T"
Hf 0.000 0.000 0.000
Al 1.516 1.516 2.042
Al 1.516 1.516 5.069
Cr 0.000 0.000 3.555
```

---

(11)
## HfAl2Cr (PBE)

Data for an optimized crystal structure of HfAl2Cr.

Computed properties:
- DFT formation energy: -0.1800 eV/atom

```
4
Lattice="3.960 0.000 0.000 0.000 3.960 0.000 0.000 0.000 4.177" Properties=species:S:1:pos:R:3 pbc="T T T"
Hf 0.000 0.000 0.000
Al 0.000 1.980 2.089
Al 1.980 0.000 2.089
Cr 1.980 1.980 0.000
```

---

(12)
## Hf2AlCr (PBE)

Data for an optimized crystal structure of Hf2AlCr.

Computed properties:
- DFT formation energy: 0.6810 eV/atom

```
8
Lattice="-1.993 1.993 9.744 1.993 -1.993 9.744 1.993 1.993 -9.744" Properties=species:S:1:pos:R:3 pbc="T T T"
Hf 2.990 0.968 -2.436
Hf 0.968 0.997 2.436
Hf -0.997 1.025 7.308
Hf 1.025 0.997 12.180
Al 1.993 0.000 4.872
Al 0.000 0.000 9.744
Cr 0.000 0.000 0.000
Cr 0.000 1.993 4.872
```

---

(13)
## HfAlCr (PBE)

Data for an optimized crystal structure of HfAlCr.

Computed properties:
- DFT formation energy: -0.0839 eV/atom

```
3
Lattice="-1.629 1.629 4.672 1.629 -1.629 4.672 1.629 1.629 -4.672" Properties=species:S:1:pos:R:3 pbc="T T T"
Hf 0.000 0.000 0.000
Al 0.000 0.000 2.837
Cr 0.000 0.000 6.213
```

---

(14)
## Hf2AlCr (PBE)

Data for an optimized crystal structure of Hf2AlCr.

Computed properties:
- DFT formation energy: -0.1695 eV/atom

```
4
Lattice="3.295 0.000 0.000 0.000 3.295 0.000 0.000 0.000 6.540" Properties=species:S:1:pos:R:3 pbc="T T T"
Hf 0.000 0.000 1.501
Hf 0.000 0.000 5.039
Al 1.648 1.648 3.270
Cr 1.648 1.648 0.000
```

---

(15)
## HfAl3Cr (PBE)

Data for an optimized crystal structure of HfAl3Cr.

Computed properties:
- Relative energy among the computed polymorphs: 0.0 meV per atom
- DFT formation energy: 0.0464 eV/atom

```
10
Lattice="6.176 0.000 0.000 -3.088 5.349 0.000 0.000 0.000 5.117" Properties=species:S:1:pos:R:3 pbc="T T T"
Hf 0.000 3.566 1.279
Hf 3.088 1.783 3.838
Al 0.000 2.064 3.838
Al -1.301 4.317 3.838
Al 1.787 1.032 1.279
Al 1.301 4.317 3.838
Al 4.389 1.032 1.279
Al 3.088 3.285 1.279
Cr 0.000 0.000 0.000
Cr 0.000 0.000 2.559
```

---

(16)
## HfAlCr (PBE)

Data for an optimized crystal structure of HfAlCr.

Computed properties:
- DFT formation energy: -0.2350 eV/atom

```
6
Lattice="-2.539 2.624 3.619 2.539 -2.624 3.619 2.539 2.624 -3.619" Properties=species:S:1:pos:R:3 pbc="T T T"
Hf 0.000 1.312 0.837
Hf 2.539 1.312 2.782
Al 2.539 0.000 0.000
Al 0.000 0.000 3.619
Cr 1.270 1.312 -1.810
Cr 1.270 -1.312 1.810
```

---

(17)
## HfAl4Cr (PBE)

Data for an optimized crystal structure of HfAl4Cr.

Computed properties:
- DFT formation energy: -0.0562 eV/atom

```
12
Lattice="6.360 -3.140 0.000 6.360 3.140 0.000 -2.090 0.000 5.050" Properties=species:S:1:pos:R:3 pbc="T T T"
Hf 2.009 0.000 1.720
Hf 8.620 0.000 3.330
Al 4.197 1.844 1.645
Al 6.360 1.895 0.000
Al 6.432 1.844 3.406
Al 2.245 0.000 4.557
Al 8.384 0.000 0.494
Al 4.197 -1.844 1.645
Al 6.360 -1.895 0.000
Al 6.432 -1.844 3.406
Cr 4.635 0.000 3.434
Cr 5.994 0.000 1.617
```

---

(18)
## Hf2AlCr (PBE)

Data for an optimized crystal structure of Hf2AlCr.

Computed properties:
- DFT formation energy: 0.4431 eV/atom

```
4
Lattice="1.488 0.859 10.090 -1.488 0.859 10.090 0.000 -1.718 10.090" Properties=species:S:1:pos:R:3 pbc="T T T"
Hf 0.000 0.000 2.598
Hf 0.000 0.000 27.673
Al 0.000 0.000 15.136
Cr 0.000 0.000 0.000
```

---

(19)
## HfAl2Cr (PBE)

Data for an optimized crystal structure of HfAl2Cr.

Computed properties:
- DFT formation energy: -0.0366 eV/atom

```
4
Lattice="0.000 3.199 3.199 3.199 0.000 3.199 3.199 3.199 0.000" Properties=species:S:1:pos:R:3 pbc="T T T"
Hf 0.000 0.000 0.000
Al 1.600 1.600 1.600
Al 4.799 4.799 4.799
Cr 3.199 3.199 3.199
```

---

(20)
## HfAlCr2 (PBE)

Data for an optimized crystal structure of HfAlCr2.

Computed properties:
- DFT formation energy: 0.7138 eV/atom

```
8
Lattice="-3.483 3.483 2.642 3.483 -3.483 2.642 3.483 3.483 -2.642" Properties=species:S:1:pos:R:3 pbc="T T T"
Hf 0.000 0.000 0.000
Hf 0.000 3.483 1.321
Al 3.483 0.000 1.321
Al 0.000 0.000 2.642
Cr 1.742 -1.572 1.981
Cr 1.912 1.742 0.660
Cr 1.742 5.055 -0.660
Cr 1.572 1.742 3.302
```

---

(21)
## HfAl2Cr (PBE)

Data for an optimized crystal structure of HfAl2Cr.

Computed properties:
- DFT formation energy: 0.3681 eV/atom

```
8
Lattice="-1.908 1.908 9.678 1.908 -1.908 9.678 1.908 1.908 -9.678" Properties=species:S:1:pos:R:3 pbc="T T T"
Hf 0.000 0.000 0.000
Hf 0.000 1.908 4.839
Al 0.954 -0.892 7.258
Al 1.016 0.954 2.419
Al 0.954 2.799 -2.419
Al 0.892 0.954 12.097
Cr 1.908 0.000 4.839
Cr 0.000 0.000 9.678
```

---

(22)
## HfAl3Cr (PBE)

Data for an optimized crystal structure of HfAl3Cr.

Computed properties:
- Relative energy among the computed polymorphs: 1197.6 meV per atom
- DFT formation energy: 1.2440 eV/atom

```
5
Lattice="5.145 0.000 0.000 0.000 5.145 0.000 0.000 0.000 5.145" Properties=species:S:1:pos:R:3 pbc="T T T"
Hf 0.000 0.000 0.000
Al 0.000 0.000 2.572
Al 0.000 2.572 0.000
Al 2.572 0.000 0.000
Cr 2.572 2.572 2.572
```

---

(23)
## HfAl12Cr6 (PBE)

Data for an optimized crystal structure of HfAl12Cr6.

Computed properties:
- DFT formation energy: 0.0450 eV/atom

```
19
Lattice="-4.194 4.194 4.194 4.194 -4.194 4.194 4.194 4.194 -4.194" Properties=species:S:1:pos:R:3 pbc="T T T"
Hf 0.000 0.000 0.000
Al 4.194 2.581 -1.913
Al 2.281 0.000 1.613
Al 6.108 0.000 1.613
Al 1.613 2.281 0.000
Al 2.581 -1.913 4.194
Al 0.000 1.613 2.281
Al 4.194 2.581 1.913
Al 1.613 6.108 0.000
Al 2.581 1.913 4.194
Al -1.913 4.194 2.581
Al 1.913 4.194 2.581
Al 0.000 1.613 6.108
Cr 4.194 1.068 0.000
Cr 4.194 0.000 3.126
Cr 3.126 4.194 0.000
Cr 1.068 0.000 4.194
Cr 0.000 4.194 1.068
Cr 0.000 3.126 4.194
```

---

(24)
## Hf2AlCr2 (PBE)

Data for an optimized crystal structure of Hf2AlCr2.

Computed properties:
- DFT formation energy: -0.0239 eV/atom

```
10
Lattice="6.527 0.000 0.000 0.000 6.527 0.000 0.000 0.000 4.017" Properties=species:S:1:pos:R:3 pbc="T T T"
Hf 1.193 2.071 0.000
Hf 2.071 5.334 0.000
Hf 4.456 1.193 0.000
Hf 5.334 4.456 0.000
Al 0.000 0.000 2.009
Al 3.263 3.263 2.009
Cr 0.709 3.972 2.009
Cr 2.554 0.709 2.009
Cr 3.972 5.818 2.009
Cr 5.818 2.554 2.009
```

---

(25)
## KHfAl2Cr (PBE)

Data for an optimized crystal structure of KHfAl2Cr.

Computed properties:
- DFT formation energy: 1.2696 eV/atom

```
5
Lattice="4.786 0.000 0.000 0.000 4.786 0.000 0.000 0.000 4.731" Properties=species:S:1:pos:R:3 pbc="T T T"
K 0.000 0.000 0.000
Hf 2.393 2.393 0.000
Al 0.000 2.393 2.365
Al 2.393 0.000 2.365
Cr 0.000 0.000 2.365
```

---

(26)
## HfMg2AlCr (PBE)

Data for an optimized crystal structure of HfMg2AlCr.

Computed properties:
- DFT formation energy: 0.8019 eV/atom

```
5
Lattice="4.979 0.000 0.000 0.000 4.979 0.000 0.000 0.000 4.711" Properties=species:S:1:pos:R:3 pbc="T T T"
Hf 0.000 0.000 0.000
Mg 0.000 2.489 2.356
Mg 2.489 0.000 2.356
Al 2.489 2.489 0.000
Cr 0.000 0.000 2.356
```

---

(27)
## HfNbAlCr2 (PBE)

Data for an optimized crystal structure of HfNbAlCr2.

Computed properties:
- DFT formation energy: 1.1400 eV/atom

```
5
Lattice="4.541 0.000 0.000 0.000 4.541 0.000 0.000 0.000 4.898" Properties=species:S:1:pos:R:3 pbc="T T T"
Hf 0.000 0.000 0.000
Nb 2.270 2.270 2.449
Al 2.270 2.270 0.000
Cr 0.000 2.270 2.449
Cr 2.270 0.000 2.449
```

---

Calculated volume / A^3/atom: 11.83, 12.04, 12.35, 19.31, 16.07, 11.99, 14.91, 18.23, 16.13, 16.33, 16.38, 19.35, 16.53, 17.76, 16.91, 16.07, 16.81, 19.34, 16.37, 16.03, 17.61, 27.23, 15.53, 17.11, 21.67, 23.36, 20.20
VASP energy / eV/atom: -6.259, -6.171, -6.785, -5.300, -3.829, -4.257, -6.996, -5.775, -8.030, -6.935, -6.945, -7.637, -7.857, -8.488, -6.115, -8.008, -5.814, -7.875, -6.802, -7.522, -6.397, -4.917, -5.882, -8.603, -4.362, -4.500, -7.462